! SmDy2Ho2In (PBE-GGA, optimized geometry); values from VASP
&SYSTEM
  ibrav = 0, nat = 12, ntyp = 4
/
ATOMIC_SPECIES
Sm 150.36 Sm.upf
Dy 162.50 Dy.upf
Ho 164.93 Ho.upf
In 114.82 In.upf
CELL_PARAMETERS angstrom
5.2674 0.0000 0.0000
0.0000 10.0702 0.0000
0.0000 0.0000 6.7352
ATOMIC_POSITIONS crystal
Sm 0.5000 0.5000 0.0000
Sm 0.0000 0.0000 0.5000
Dy 0.5000 0.8393 0.2403
Dy 0.5000 0.1607 0.7597
Dy 0.0000 0.6607 0.7403
Dy 0.0000 0.3393 0.2597
Ho 0.5000 0.1597 0.2404
Ho 0.0000 0.6597 0.2596
Ho 0.5000 0.8403 0.7596
Ho 0.0000 0.3403 0.7404
In 0.0000 0.0000 0.0000
In 0.5000 0.5000 0.5000
! formation enthalpy at 0 K = -0.020 eV/atom

***

! SmDyHoIn (PBE-GGA, optimized geometry); values from VASP
&SYSTEM
  ibrav = 0, nat = 4, ntyp = 4
/
ATOMIC_SPECIES
In 114.82 In.upf
Ho 164.93 Ho.upf
Sm 150.36 Sm.upf
Dy 162.50 Dy.upf
CELL_PARAMETERS angstrom
-5.0857 -1.6628 -1.1630
-0.7855 -4.4591 -3.0791
-1.9685 -4.5796 2.2658
ATOMIC_POSITIONS crystal
In 0.2500 0.2500 0.2500
Ho 0.7500 0.7500 0.7500
Sm 0.0000 0.0000 0.0000
Dy 0.5000 0.5000 0.5000
! formation enthalpy at 0 K = -0.136 eV/atom
! ΔE to the lowest computed polymorph = 129 meV per atom

***

Question: Which value of formation enthalpy at 0 K does entry 2 give?
Answer: -0.136 eV/atom